Here is a relaxed VHgAs2Br crystal from Alexandria via LeMat-Bulk. Energies are from PBE-GGA.

Unit cell a=5.0999 b=5.0999 c=5.7903 alpha=90.00 beta=90.00 gamma=90.00
Closest atoms and distances in Å follow each position.
Fractional positions:
V1 0.0000 0.0000 0.0000  4 Br 3.61, 8 As 3.86
Hg1 0.5000 0.5000 0.5000  4 As 2.55
As1 0.0000 0.5000 0.5000  2 Hg 2.55
As2 0.5000 0.0000 0.5000  2 Hg 2.55
Br1 0.5000 0.5000 0.0000  2 Hg 2.90

**Uncorrected formation energy**: 1.115 eV per atom
**Polymorph energy (0 for the lowest one)**: 1.005 eV per atom
**Symmetry**: P4/mmm, No. 123
**Magnetization**: 2.289 μB per formula unit